Here is a relaxed structure of Sr3Ag5O12 from Alexandria. Energies are from PBE-GGA.

CIF file:
```
data_Sr3Ag5O12
_symmetry_space_group_name_H-M 'P 1'
_symmetry_Int_Tables_number 1
_cell_length_a 11.6554
_cell_length_b 11.6554
_cell_length_c 11.6554
_cell_angle_alpha 109.47
_cell_angle_beta 109.47
_cell_angle_gamma 109.47
loop_
_symmetry_equiv_pos_as_xyz
'x,y,z'
loop_
_atom_site_label
_atom_site_fract_x
_atom_site_fract_y
_atom_site_fract_z
Sr1 0.1250 0.2500 0.3750
Sr2 0.1250 0.3750 0.7500
Sr3 0.2500 0.3750 0.1250
Sr4 0.2500 0.8750 0.6250
Sr5 0.3750 0.1250 0.2500
Sr6 0.3750 0.7500 0.1250
Sr7 0.6250 0.2500 0.8750
Sr8 0.6250 0.8750 0.7500
Sr9 0.7500 0.1250 0.3750
Sr10 0.7500 0.6250 0.8750
Sr11 0.8750 0.6250 0.2500
Sr12 0.8750 0.7500 0.6250
Ag1 0.0000 0.0000 0.0000
Ag2 0.0000 0.0000 0.5000
Ag3 0.0000 0.5000 0.0000
Ag4 0.0000 0.5000 0.5000
Ag5 0.1250 0.7500 0.8750
Ag6 0.1250 0.8750 0.2500
Ag7 0.2500 0.1250 0.8750
Ag8 0.2500 0.6250 0.3750
Ag9 0.3750 0.2500 0.6250
Ag10 0.3750 0.6250 0.7500
Ag11 0.5000 0.0000 0.0000
Ag12 0.5000 0.0000 0.5000
Ag13 0.5000 0.5000 0.0000
Ag14 0.5000 0.5000 0.5000
Ag15 0.6250 0.3750 0.2500
Ag16 0.6250 0.7500 0.3750
Ag17 0.7500 0.3750 0.6250
Ag18 0.7500 0.8750 0.1250
Ag19 0.8750 0.1250 0.7500
Ag20 0.8750 0.2500 0.1250
O1 0.0299 0.1966 0.1205
O2 0.0299 0.3333 0.9094
O3 0.0761 0.6966 0.6667
O4 0.0761 0.8795 0.4094
O5 0.0906 0.6205 0.4239
O6 0.0906 0.9701 0.6667
O7 0.1205 0.0299 0.1966
O8 0.1205 0.5906 0.9239
O9 0.1667 0.1966 0.5761
O10 0.1667 0.4701 0.5906
O11 0.1966 0.1205 0.0299
O12 0.1966 0.5761 0.1667
O13 0.3034 0.3333 0.9239
O14 0.3034 0.4701 0.3795
O15 0.3333 0.9094 0.0299
O16 0.3333 0.9239 0.3034
O17 0.3795 0.3034 0.4701
O18 0.3795 0.5761 0.9094
O19 0.4094 0.0761 0.8795
O20 0.4094 0.8333 0.5299
O21 0.4239 0.0906 0.6205
O22 0.4239 0.8333 0.8034
O23 0.4701 0.3795 0.3034
O24 0.4701 0.5906 0.1667
O25 0.5299 0.4094 0.8333
O26 0.5299 0.6205 0.6966
O27 0.5761 0.1667 0.1966
O28 0.5761 0.9094 0.3795
O29 0.5906 0.1667 0.4701
O30 0.5906 0.9239 0.1205
O31 0.6205 0.4239 0.0906
O32 0.6205 0.6966 0.5299
O33 0.6667 0.0761 0.6966
O34 0.6667 0.0906 0.9701
O35 0.6966 0.5299 0.6205
O36 0.6966 0.6667 0.0761
O37 0.8034 0.4239 0.8333
O38 0.8034 0.8795 0.9701
O39 0.8333 0.5299 0.4094
O40 0.8333 0.8034 0.4239
O41 0.8795 0.4094 0.0761
O42 0.8795 0.9701 0.8034
O43 0.9094 0.0299 0.3333
O44 0.9094 0.3795 0.5761
O45 0.9239 0.1205 0.5906
O46 0.9239 0.3034 0.3333
O47 0.9701 0.6667 0.0906
O48 0.9701 0.8034 0.8795
```

Computed properties:
Calculated volume = 1218.9 Å³ per cell
Uncorrected formation energy = -12.9 eV per formula unit